No. 1
VASP calculation (PBE with a Hubbard U) on a relaxed structure of CaAgMo2O8.

CIF file:
```
data_CaAgMo2O8
_chemical_formula_sum 'Ca1 Ag1 Mo2 O8'
_symmetry_space_group_name_H-M 'P 1'
_symmetry_Int_Tables_number 1
_symmetry_space_group_name_Hall 'P 1'
_cell_length_a 6.213
_cell_length_b 6.213
_cell_length_c 6.213
_cell_angle_alpha 107.78
_cell_angle_beta 107.78
_cell_angle_gamma 112.92
loop_
_atom_site_label
_atom_site_fract_x
_atom_site_fract_y
_atom_site_fract_z
_atom_site_occupancy
Ca1 0.000 0.000 0.000 1
Ag1 0.750 0.250 0.500 1
Mo1 0.250 0.750 0.500 1
Mo2 0.500 0.500 0.000 1
O1 0.096 0.398 0.302 1
O2 0.096 0.794 0.698 1
O3 0.144 0.336 0.807 1
O4 0.206 0.904 0.302 1
O5 0.529 0.336 0.193 1
O6 0.602 0.904 0.698 1
O7 0.664 0.471 0.807 1
O8 0.664 0.856 0.193 1
```

Properties
- volume (Å³/cell) = 184.1
- SG = No. 119
- ρ (g cm⁻³) = 4.2
- calculated total energy (eV/atom) = -6.449

No. 2
VASP calculation (PBE with a Hubbard U) on a relaxed structure of NdCrTeO2.

CIF file:
```
data_NdCrTeO2
_chemical_formula_sum 'Nd2 Cr2 Te2 O4'
_symmetry_space_group_name_H-M 'P 1'
_symmetry_Int_Tables_number 1
_symmetry_space_group_name_Hall 'P 1'
_cell_length_a 6.592
_cell_length_b 6.592
_cell_length_c 5.706
_cell_angle_alpha 90.00
_cell_angle_beta 90.00
_cell_angle_gamma 127.38
loop_
_atom_site_label
_atom_site_fract_x
_atom_site_fract_y
_atom_site_fract_z
_atom_site_occupancy
Nd1 0.106 0.894 0.750 1
Nd2 0.894 0.106 0.250 1
Cr1 0.496 0.504 0.250 1
Cr2 0.504 0.496 0.750 1
Te1 0.262 0.738 0.250 1
Te2 0.738 0.262 0.750 1
O1 0.259 0.259 0.000 1
O2 0.259 0.259 0.500 1
O3 0.741 0.741 0.000 1
O4 0.741 0.741 0.500 1
```

Properties
- volume (Å³/cell) = 197.1
- SG = No. 63
- ρ (g cm⁻³) = 6.0
- calculated total energy (eV/atom) = -7.032